1.
This record from the Alexandria database describes Li3MgSn after structural relaxation. The functional is GGA-PBEsol.

Its energy relative to the elements is 31.3 kJ/mol of atoms.

It has space group Pm-3m (No. 221), with a = 4.8675 Å, b = 4.8675 Å, c = 4.8675 Å, α = 90.00°, β = 90.00° and γ = 90.00°. The inequivalent atoms are Li at (0.0000, 0.0000, 0.5000), Mg at (0.0000, 0.0000, 0.0000) and Sn at (0.5000, 0.5000, 0.5000).

2.
This record from the Alexandria database describes CrPtW2 after structural relaxation. The functional is GGA-PBEsol.

Its energy relative to the elements is 9.3 kJ/mol of atoms. The polymorph energy (0 for the lowest one) is 0.076 eV per atom.

It has space group Pmmm (No. 47), with a = 2.6710 Å, b = 3.9369 Å, c = 5.5033 Å, α = 90.00°, β = 90.00° and γ = 90.00°. The inequivalent atoms are Cr at (0.0000, 0.0000, 0.0000), Pt at (0.0000, 0.0000, 0.5000) and W at (0.5000, 0.5000, 0.2393).

3.
This record from the Alexandria database describes CuAsRu2 after structural relaxation. The functional is GGA-PBEsol.

Its energy relative to the elements is 12.9 kJ/mol of atoms.

It has space group Cm (No. 8), with a = 8.9996 Å, b = 2.8807 Å, c = 4.3280 Å, α = 90.00°, β = 109.11° and γ = 90.00°. The inequivalent atoms are Cu at (0.0000, 0.0000, 0.0000), As at (0.2387, 0.0000, 0.6165), Ru at (0.2457, 0.5000, 0.1006) and Ru at (0.4924, 0.0000, 0.4967).

4.
This record from the Alexandria database describes YSiAg2 after structural relaxation. The functional is GGA-PBEsol.

The calculation puts the total energy at -38.7 eV for the cell shown.

It has space group C2/m (No. 12), with a = 5.7076 Å, b = 10.3047 Å, c = 3.0935 Å, α = 90.00°, β = 120.98° and γ = 90.00°. The inequivalent atoms are Y at (0.0000, 0.0000, 0.0000), Si at (0.0000, 0.5000, 0.0000) and Ag at (0.2500, 0.2500, 0.5000).

5.
This record from the Alexandria database describes SrTc2Mo after structural relaxation. The functional is GGA-PBEsol.

Its energy relative to the elements is 93.2 kJ/mol of atoms. The polymorph energy (0 for the lowest one) is 0.312 eV per atom.

It has space group F-43m (No. 216), with a = 6.4461 Å, b = 6.4461 Å, c = 6.4461 Å, α = 90.00°, β = 90.00° and γ = 90.00°. The inequivalent atoms are Sr at (0.0000, 0.0000, 0.0000), Tc at (0.0000, 0.0000, 0.5000), Tc at (0.2500, 0.2500, 0.2500) and Mo at (0.2500, 0.2500, 0.7500).

6.
This record from the Alexandria database describes NaP2IrCl after structural relaxation. The functional is GGA-PBEsol.

The calculation puts the total energy at -15.9 eV for the cell shown.

It has space group P4/mmm (No. 123), with a = 4.7027 Å, b = 4.7027 Å, c = 4.4781 Å, α = 90.00°, β = 90.00° and γ = 90.00°. The inequivalent atoms are Na at (0.0000, 0.0000, 0.0000), P at (0.0000, 0.5000, 0.0000), Ir at (0.5000, 0.5000, 0.5000) and Cl at (0.0000, 0.0000, 0.5000).

7.
This record from the Alexandria database describes LaTeWSe2 after structural relaxation. The functional is GGA-PBEsol.

The calculation puts the total energy at -24.8 eV for the cell shown.

It has space group P4/mmm (No. 123), with a = 5.4540 Å, b = 5.4540 Å, c = 6.1889 Å, α = 90.00°, β = 90.00° and γ = 90.00°. The inequivalent atoms are La at (0.0000, 0.0000, 0.0000), Te at (0.0000, 0.0000, 0.5000), W at (0.5000, 0.5000, 0.5000) and Se at (0.0000, 0.5000, 0.0000).

8.
This record from the Alexandria database describes HgSbMoI2 after structural relaxation. The functional is GGA-PBEsol.

The polymorph energy (0 for the lowest one) is 0.000 eV per atom.

It has space group P4/mmm (No. 123), with a = 6.0089 Å, b = 6.0089 Å, c = 5.4431 Å, α = 90.00°, β = 90.00° and γ = 90.00°. The inequivalent atoms are Hg at (0.0000, 0.0000, 0.0000), Sb at (0.0000, 0.0000, 0.5000), Mo at (0.5000, 0.5000, 0.0000) and I at (0.0000, 0.5000, 0.5000).

9.
This record from the Alexandria database describes CaFeTe2 after structural relaxation. The functional is GGA-PBEsol.

The calculation puts the total energy at -39.7 eV for the cell shown.

It has space group Amm2 (No. 38), with a = 4.4485 Å, b = 4.1538 Å, c = 12.1162 Å, α = 90.00°, β = 90.00° and γ = 90.00°. The inequivalent atoms are Ca at (0.0000, 0.0000, 0.0000), Fe at (0.5000, 0.0000, 0.6198), Te at (0.0000, 0.0000, 0.7154) and Te at (0.5000, 0.0000, 0.4158).

10.
This record from the Alexandria database describes LaSc2Hg after structural relaxation. The functional is GGA-PBEsol.

Its energy relative to the elements is -14.8 kJ/mol of atoms.

It has space group P2/m (No. 10), with a = 3.4502 Å, b = 4.8440 Å, c = 6.2595 Å, α = 90.00°, β = 104.82° and γ = 90.00°. The inequivalent atoms are La at (0.0000, 0.0000, 0.0000), Sc at (0.3333, 0.5000, 0.7246) and Hg at (0.5000, 0.0000, 0.5000).